# 1
A plane-wave DFT calculation with PBE was carried out for an optimized crystal structure of HfTl2VHg.

## Properties
For the calculated formation energy, the calculation gives 1407 meV per atom. The calculated volume comes out at 165.02 Å³/cell. The calculated total energy is -17.072 eV per cell.

Cell: 5.5219 5.5219 5.4121 Å, 90.00 90.00 90.00°
Closest atoms and distances in Å follow each position.
Space group P4/mmm (No. 123)
Inequivalent atoms, fractional coordinates:
Hf 0.0000 0.0000 0.0000  2 Hg 2.71, 4 Tl 2.76
Tl 0.0000 0.5000 0.0000  2 Hf 2.76
V 0.5000 0.5000 0.5000  8 Tl 3.87, 4 Hg 3.90
Hg 0.0000 0.0000 0.5000  2 Hf 2.71

# 2
A plane-wave DFT calculation with PBE was carried out for an optimized crystal structure of RbCo2Pd.

## Properties
For the calculated formation energy, the calculation gives 1282 meV per atom. The calculated volume comes out at 282.25 Å³/cell. The calculated total energy is -60.971 eV per cell. The polymorph energy (0 for the lowest one) is 400 meV per atom.

Cell: 6.5596 6.5596 6.5596 Å, 90.00 90.00 90.00°
Closest atoms and distances in Å follow each position.
Space group Fm-3m (No. 225)
Inequivalent atoms, fractional coordinates:
Rb 0.0000 0.0000 0.0000  8 Co 2.84
Co 0.2500 0.2500 0.2500  4 Rb 2.84, 4 Pd 2.84
Pd 0.0000 0.0000 0.5000  8 Co 2.84

# 3
A plane-wave DFT calculation with PBE was carried out for an optimized crystal structure of Na2GeAs2.

## Properties
For the calculated formation energy, the calculation gives -216 meV per atom. The calculated volume comes out at 231.29 Å³/cell. The calculated total energy is -35.274 eV per cell. The polymorph energy (0 for the lowest one) is 88 meV per atom.

Cell: 7.0420 7.0420 4.6641 Å, 90.00 90.00 90.00°
Closest atoms and distances in Å follow each position.
Space group P4/mbm (No. 127)
Inequivalent atoms, fractional coordinates:
Na 0.1766 0.3234 0.0000  6 As 3.05-3.18
Ge 0.0000 0.0000 0.5000  4 As 2.78
As 0.1252 0.6252 0.5000  1 As 2.49, 2 Ge 2.78

# 4
A plane-wave DFT calculation with PBE was carried out for an optimized crystal structure of LiPb5.

## Properties
For the calculated formation energy, the calculation gives -19 meV per atom. The calculated volume comes out at 737.05 Å³/cell. The calculated total energy is -82.269 eV per cell. The polymorph energy (0 for the lowest one) is 41 meV per atom.

Cell: 4.4629 10.9930 15.0233 Å, 90.00 90.00 90.00°
Closest atoms and distances in Å follow each position.
Space group Cmcm (No. 63)
Inequivalent atoms, fractional coordinates:
Li 0.0000 0.1741 0.2500  9 Pb 2.98-3.24
Pb 0.0000 0.1203 0.7500  3 Li 3.18-3.24
Pb 0.0000 0.2978 0.0738  1 Li 2.98, 3 Pb 3.23-3.32
Pb 0.0000 0.4202 0.6348  2 Li 3.01, 1 Pb 3.23

# 5
A plane-wave DFT calculation with PBE was carried out for an optimized crystal structure of BeAs2Rh.

## Properties
For the calculated formation energy, the calculation gives 15 meV per atom. The calculated volume comes out at 178.48 Å³/cell. The calculated total energy is -60.948 eV per cell.

Cell: 3.1326 3.1326 21.0022 Å, 90.00 90.00 120.00°
Closest atoms and distances in Å follow each position.
Space group R-3m (No. 166, hexagonal axes)
Inequivalent atoms, fractional coordinates:
Be 0.0000 0.0000 0.0000  6 As 2.45
As 0.0000 0.0000 0.2545  3 Be 2.45, 3 Rh 2.58
Rh 0.0000 0.0000 0.5000  6 As 2.58

# 6
A plane-wave DFT calculation with PBE was carried out for an optimized crystal structure of CaRhO2.

## Properties
The calculated volume comes out at 240.49 Å³/cell. The calculation puts the raw formation energy at -508 kJ/mol of formula units. The calculated total energy is -98.154 eV per cell.

Cell: 4.5371 4.5371 11.6828 Å, 90.00 90.00 90.00°
Closest atoms and distances in Å follow each position.
Space group I-42d (No. 122)
Inequivalent atoms, fractional coordinates:
Ca 0.0000 0.0000 0.0000  4 O 2.29
Rh 0.0000 0.0000 0.5000  4 O 2.06
O 0.2008 0.2500 0.6250  2 Rh 2.06, 2 Ca 2.29

# 7
A plane-wave DFT calculation with PBE was carried out for an optimized crystal structure of Ce2ZnGa3Rh4.

## Properties
For the calculated formation energy, the calculation gives -718 meV per atom. The calculated volume comes out at 184.75 Å³/cell. The calculated total energy is -58.810 eV per cell.

Cell: 4.2374 4.2374 10.2892 Å, 90.00 90.00 90.00°
Closest atoms and distances in Å follow each position.
Space group P-4m2 (No. 115)
Inequivalent atoms, fractional coordinates:
Ce 0.0000 0.5000 0.2427  6 Ga 3.23-3.39, 8 Rh 3.25-3.27, 2 Zn 3.39
Zn 0.0000 0.0000 0.5000  4 Rh 2.54
Ga 0.0000 0.5000 0.8744  5 Rh 2.45-2.48
Ga 0.5000 0.5000 0.5000  4 Rh 2.54
Rh 0.0000 0.0000 0.0000  4 Ga 2.48
Rh 0.0000 0.5000 0.6359  3 Ga 2.45-2.54, 2 Zn 2.54
Rh 0.5000 0.5000 0.0000  4 Ga 2.48

# 8
A plane-wave DFT calculation with PBE was carried out for an optimized crystal structure of ZnH3F.

## Properties
The calculated volume comes out at 39.39 Å³/cell. The calculated total energy is -11.694 eV per cell. The polymorph energy (0 for the lowest one) is 933 meV per atom.

Cell: 3.4026 3.4026 3.4026 Å, 90.00 90.00 90.00°
Closest atoms and distances in Å follow each position.
Space group Pm-3m (No. 221)
Inequivalent atoms, fractional coordinates:
Zn 0.0000 0.0000 0.0000  6 H 1.70
H 0.0000 0.0000 0.5000  2 Zn 1.70
F 0.5000 0.5000 0.5000  12 H 2.41

Magnetic moment for the records above, in order: 0.028; 0.813; 0.000; 0.000; 0.000; 0.000; 0.141; 0.000 μB per atom